No. 1
# NaSn3S | the Alexandria database | PBE-GGA | relaxed
# **Total magnetic moment**: 0.00 Bohr magnetons per cell
# **Energy relative to the elements, uncorrected**: 787.9 meV per atom
# **Energy above the lowest structure with this stoichiometry**: 676 meV per atom
# **E_tot**: -13.5 eV/f.u.
data_NaSn3S
_chemical_formula_sum 'Na1 Sn3 S1'
_cell_length_a 5.386
_cell_length_b 5.386
_cell_length_c 5.386
_cell_angle_alpha 90.00
_cell_angle_beta 90.00
_cell_angle_gamma 90.00
_symmetry_space_group_name_H-M 'P 1'
_symmetry_Int_Tables_number 1
loop_
_symmetry_equiv_pos_as_xyz
'x,y,z'
loop_
_atom_site_label
_atom_site_type_symbol
_atom_site_fract_x
_atom_site_fract_y
_atom_site_fract_z
Na1 Na 0.000 0.000 0.000
Sn1 Sn 0.000 0.000 0.500
Sn2 Sn 0.000 0.500 0.000
Sn3 Sn 0.500 0.000 0.000
S1 S 0.500 0.500 0.500

No. 2
# AcY2Tl | the Alexandria database | PBE-GGA | relaxed
# **Total magnetic moment**: 1.06 Bohr magnetons per cell
# **Energy above the lowest structure with this stoichiometry**: 58 meV per atom
# **E_tot**: -19.9 eV/f.u.
data_AcY2Tl
_chemical_formula_sum 'Ac1 Y2 Tl1'
_cell_length_a 5.081
_cell_length_b 5.081
_cell_length_c 5.003
_cell_angle_alpha 90.00
_cell_angle_beta 90.00
_cell_angle_gamma 90.00
_symmetry_space_group_name_H-M 'P 1'
_symmetry_Int_Tables_number 1
loop_
_symmetry_equiv_pos_as_xyz
'x,y,z'
loop_
_atom_site_label
_atom_site_type_symbol
_atom_site_fract_x
_atom_site_fract_y
_atom_site_fract_z
Ac1 Ac 0.000 0.000 0.000
Y1 Y 0.000 0.500 0.500
Y2 Y 0.500 0.000 0.500
Tl1 Tl 0.500 0.500 0.000

No. 3
# Pm2ThNpSb4 | the Alexandria database | PBE-GGA | relaxed
# **Total magnetic moment**: 4.15 Bohr magnetons per cell
# **Energy relative to the elements, uncorrected**: -881.9 meV per atom
# **E_tot**: -53.4 eV/f.u.
data_Pm2ThNpSb4
_chemical_formula_sum 'Pm2 Th1 Np1 Sb4'
_cell_length_a 7.746
_cell_length_b 4.477
_cell_length_c 7.765
_cell_angle_alpha 90.00
_cell_angle_beta 109.43
_cell_angle_gamma 90.00
_symmetry_space_group_name_H-M 'P 1'
_symmetry_Int_Tables_number 1
loop_
_symmetry_equiv_pos_as_xyz
'x,y,z'
loop_
_atom_site_label
_atom_site_type_symbol
_atom_site_fract_x
_atom_site_fract_y
_atom_site_fract_z
Pm1 Pm 0.000 0.000 0.000
Pm2 Pm 0.500 0.500 0.000
Th1 Th 0.000 0.500 0.500
Np1 Np 0.500 0.000 0.500
Sb1 Sb 0.253 0.000 0.749
Sb2 Sb 0.254 0.500 0.254
Sb3 Sb 0.746 0.500 0.746
Sb4 Sb 0.747 0.000 0.251

No. 4
# Ac3PmH | the Alexandria database | PBE-GGA | relaxed
# **Total magnetic moment**: 0.00 Bohr magnetons per cell
# **E_tot**: -21.1 eV/f.u.
data_Ac3PmH
_chemical_formula_sum 'Ac3 Pm1 H1'
_cell_length_a 5.523
_cell_length_b 5.523
_cell_length_c 5.523
_cell_angle_alpha 90.00
_cell_angle_beta 90.00
_cell_angle_gamma 90.00
_symmetry_space_group_name_H-M 'P 1'
_symmetry_Int_Tables_number 1
loop_
_symmetry_equiv_pos_as_xyz
'x,y,z'
loop_
_atom_site_label
_atom_site_type_symbol
_atom_site_fract_x
_atom_site_fract_y
_atom_site_fract_z
Ac1 Ac 0.000 0.000 0.500
Ac2 Ac 0.000 0.500 0.000
Ac3 Ac 0.500 0.000 0.000
Pm1 Pm 0.500 0.500 0.500
H1 H 0.000 0.000 0.000

No. 5
# Tm3SbP2Rh9 | the Alexandria database | PBE-GGA | relaxed
# **Total magnetic moment**: 0.00 Bohr magnetons per cell
# **Energy relative to the elements, uncorrected**: -678.3 meV per atom
# **E_tot**: -104.7 eV/f.u.
data_Tm3SbP2Rh9
_chemical_formula_sum 'Tm3 Sb1 P2 Rh9'
_cell_length_a 6.039
_cell_length_b 6.039
_cell_length_c 9.222
_cell_angle_alpha 90.00
_cell_angle_beta 90.00
_cell_angle_gamma 120.00
_symmetry_space_group_name_H-M 'P 1'
_symmetry_Int_Tables_number 1
loop_
_symmetry_equiv_pos_as_xyz
'x,y,z'
loop_
_atom_site_label
_atom_site_type_symbol
_atom_site_fract_x
_atom_site_fract_y
_atom_site_fract_z
Tm1 Tm 0.000 0.000 0.000
Tm2 Tm 0.333 0.667 0.736
Tm3 Tm 0.667 0.333 0.264
Sb1 Sb 0.000 0.000 0.500
P1 P 0.333 0.667 0.161
P2 P 0.667 0.333 0.839
Rh1 Rh 0.000 0.500 0.000
Rh2 Rh 0.150 0.300 0.270
Rh3 Rh 0.150 0.850 0.270
Rh4 Rh 0.300 0.150 0.730
Rh5 Rh 0.500 0.000 0.000
Rh6 Rh 0.500 0.500 0.000
Rh7 Rh 0.700 0.850 0.270
Rh8 Rh 0.850 0.150 0.730
Rh9 Rh 0.850 0.700 0.730

No. 6
# La12Ag3H5 | the Alexandria database | PBE-GGA | relaxed
# **Total magnetic moment**: 0.00 Bohr magnetons per cell
# **E_tot**: -88.6 eV/f.u.
data_La12Ag3H5
_chemical_formula_sum 'La48 Ag12 H20'
_cell_length_a 14.066
_cell_length_b 14.066
_cell_length_c 14.066
_cell_angle_alpha 109.47
_cell_angle_beta 109.47
_cell_angle_gamma 109.47
_symmetry_space_group_name_H-M 'P 1'
_symmetry_Int_Tables_number 1
loop_
_symmetry_equiv_pos_as_xyz
'x,y,z'
loop_
_atom_site_label
_atom_site_type_symbol
_atom_site_fract_x
_atom_site_fract_y
_atom_site_fract_z
La1 La 0.018 0.211 0.110
La2 La 0.018 0.308 0.908
La3 La 0.092 0.610 0.400
La4 La 0.092 0.982 0.692
La5 La 0.100 0.711 0.692
La6 La 0.100 0.890 0.408
La7 La 0.110 0.018 0.211
La8 La 0.110 0.592 0.900
La9 La 0.192 0.211 0.600
La10 La 0.192 0.482 0.592
La11 La 0.211 0.110 0.018
La12 La 0.211 0.600 0.192
La13 La 0.289 0.308 0.900
La14 La 0.289 0.482 0.390
La15 La 0.308 0.900 0.289
La16 La 0.308 0.908 0.018
La17 La 0.390 0.289 0.482
La18 La 0.390 0.600 0.908
La19 La 0.400 0.092 0.610
La20 La 0.400 0.808 0.789
La21 La 0.408 0.100 0.890
La22 La 0.408 0.808 0.518
La23 La 0.482 0.390 0.289
La24 La 0.482 0.592 0.192
La25 La 0.518 0.408 0.808
La26 La 0.518 0.610 0.711
La27 La 0.592 0.192 0.482
La28 La 0.592 0.900 0.110
La29 La 0.600 0.192 0.211
La30 La 0.600 0.908 0.390
La31 La 0.610 0.400 0.092
La32 La 0.610 0.711 0.518
La33 La 0.692 0.092 0.982
La34 La 0.692 0.100 0.711
La35 La 0.711 0.518 0.610
La36 La 0.711 0.692 0.100
La37 La 0.789 0.400 0.808
La38 La 0.789 0.890 0.982
La39 La 0.808 0.518 0.408
La40 La 0.808 0.789 0.400
La41 La 0.890 0.408 0.100
La42 La 0.890 0.982 0.789
La43 La 0.900 0.110 0.592
La44 La 0.900 0.289 0.308
La45 La 0.908 0.018 0.308
La46 La 0.908 0.390 0.600
La47 La 0.982 0.692 0.092
La48 La 0.982 0.789 0.890
Ag1 Ag 0.125 0.250 0.375
Ag2 Ag 0.125 0.375 0.750
Ag3 Ag 0.250 0.375 0.125
Ag4 Ag 0.250 0.875 0.625
Ag5 Ag 0.375 0.125 0.250
Ag6 Ag 0.375 0.750 0.125
Ag7 Ag 0.625 0.250 0.875
Ag8 Ag 0.625 0.875 0.750
Ag9 Ag 0.750 0.125 0.375
Ag10 Ag 0.750 0.625 0.875
Ag11 Ag 0.875 0.625 0.250
Ag12 Ag 0.875 0.750 0.625
H1 H 0.000 0.000 0.000
H2 H 0.000 0.000 0.500
H3 H 0.000 0.500 0.000
H4 H 0.000 0.500 0.500
H5 H 0.125 0.750 0.875
H6 H 0.125 0.875 0.250
H7 H 0.250 0.125 0.875
H8 H 0.250 0.625 0.375
H9 H 0.375 0.250 0.625
H10 H 0.375 0.625 0.750
H11 H 0.500 0.000 0.000
H12 H 0.500 0.000 0.500
H13 H 0.500 0.500 0.000
H14 H 0.500 0.500 0.500
H15 H 0.625 0.375 0.250
H16 H 0.625 0.750 0.375
H17 H 0.750 0.375 0.625
H18 H 0.750 0.875 0.125
H19 H 0.875 0.125 0.750
H20 H 0.875 0.250 0.125

No. 7
# RbSc | the Alexandria database | PBE-GGA | relaxed
# **Total magnetic moment**: 8.05 Bohr magnetons per cell
# **E_tot**: -5.7 eV/f.u.
data_RbSc
_chemical_formula_sum 'Rb8 Sc8'
_cell_length_a 7.505
_cell_length_b 7.527
_cell_length_c 11.782
_cell_angle_alpha 90.00
_cell_angle_beta 90.00
_cell_angle_gamma 90.00
_symmetry_space_group_name_H-M 'P 1'
_symmetry_Int_Tables_number 1
loop_
_symmetry_equiv_pos_as_xyz
'x,y,z'
loop_
_atom_site_label
_atom_site_type_symbol
_atom_site_fract_x
_atom_site_fract_y
_atom_site_fract_z
Rb1 Rb 0.055 0.050 0.235
Rb2 Rb 0.209 0.192 0.517
Rb3 Rb 0.291 0.808 0.017
Rb4 Rb 0.445 0.950 0.735
Rb5 Rb 0.555 0.450 0.765
Rb6 Rb 0.709 0.308 0.483
Rb7 Rb 0.791 0.692 0.983
Rb8 Rb 0.945 0.550 0.265
Sc1 Sc 0.058 0.581 0.708
Sc2 Sc 0.169 0.310 0.958
Sc3 Sc 0.331 0.690 0.458
Sc4 Sc 0.442 0.419 0.208
Sc5 Sc 0.558 0.919 0.292
Sc6 Sc 0.669 0.190 0.042
Sc7 Sc 0.831 0.810 0.542
Sc8 Sc 0.942 0.081 0.792

No. 8
# CeCd2Ag2Hg2 | the Alexandria database | PBE-GGA | relaxed
# **Total magnetic moment**: 1.03 Bohr magnetons per cell
# **E_tot**: -15.0 eV/f.u.
data_CeCd2Ag2Hg2
_chemical_formula_sum 'Ce1 Cd2 Ag2 Hg2'
_cell_length_a 8.431
_cell_length_b 8.431
_cell_length_c 8.431
_cell_angle_alpha 33.35
_cell_angle_beta 33.35
_cell_angle_gamma 33.35
_symmetry_space_group_name_H-M 'P 1'
_symmetry_Int_Tables_number 1
loop_
_symmetry_equiv_pos_as_xyz
'x,y,z'
loop_
_atom_site_label
_atom_site_type_symbol
_atom_site_fract_x
_atom_site_fract_y
_atom_site_fract_z
Ce1 Ce 0.000 0.000 0.000
Cd1 Cd 0.141 0.141 0.141
Cd2 Cd 0.859 0.859 0.859
Ag1 Ag 0.434 0.434 0.434
Ag2 Ag 0.566 0.566 0.566
Hg1 Hg 0.271 0.271 0.271
Hg2 Hg 0.729 0.729 0.729

No. 9
# KBRu3 | the Alexandria database | PBE-GGA | relaxed
# **Total magnetic moment**: 1.57 Bohr magnetons per cell
# **E_tot**: -31.3 eV/f.u.
data_KBRu3
_chemical_formula_sum 'K1 B1 Ru3'
_cell_length_a 4.272
_cell_length_b 4.272
_cell_length_c 4.272
_cell_angle_alpha 90.00
_cell_angle_beta 90.00
_cell_angle_gamma 90.00
_symmetry_space_group_name_H-M 'P 1'
_symmetry_Int_Tables_number 1
loop_
_symmetry_equiv_pos_as_xyz
'x,y,z'
loop_
_atom_site_label
_atom_site_type_symbol
_atom_site_fract_x
_atom_site_fract_y
_atom_site_fract_z
K1 K 0.000 0.000 0.000
B1 B 0.500 0.500 0.500
Ru1 Ru 0.000 0.500 0.500
Ru2 Ru 0.500 0.000 0.500
Ru3 Ru 0.500 0.500 0.000

No. 10
# Co3ICl | the Alexandria database | PBE-GGA | relaxed
# **Total magnetic moment**: 5.00 Bohr magnetons per cell
# **Energy relative to the elements, uncorrected**: 1244.3 meV per atom
# **Energy above the lowest structure with this stoichiometry**: 306 meV per atom
# **E_tot**: -18.5 eV/f.u.
data_Co3ICl
_chemical_formula_sum 'Co3 I1 Cl1'
_cell_length_a 4.795
_cell_length_b 4.795
_cell_length_c 4.795
_cell_angle_alpha 90.00
_cell_angle_beta 90.00
_cell_angle_gamma 90.00
_symmetry_space_group_name_H-M 'P 1'
_symmetry_Int_Tables_number 1
loop_
_symmetry_equiv_pos_as_xyz
'x,y,z'
loop_
_atom_site_label
_atom_site_type_symbol
_atom_site_fract_x
_atom_site_fract_y
_atom_site_fract_z
Co1 Co 0.000 0.000 0.500
Co2 Co 0.000 0.500 0.000
Co3 Co 0.500 0.000 0.000
I1 I 0.000 0.000 0.000
Cl1 Cl 0.500 0.500 0.500

No. 11
# Na3Zr2USe6 | the Alexandria database | PBE-GGA | relaxed
# **Total magnetic moment**: 3.40 Bohr magnetons per cell
# **Energy relative to the elements, uncorrected**: -1256.6 meV per atom
# **E_tot**: -68.3 eV/f.u.
data_Na3Zr2USe6
_chemical_formula_sum 'Na3 Zr2 U1 Se6'
_cell_length_a 6.811
_cell_length_b 6.811
_cell_length_c 7.535
_cell_angle_alpha 98.68
_cell_angle_beta 98.68
_cell_angle_gamma 120.01
_symmetry_space_group_name_H-M 'P 1'
_symmetry_Int_Tables_number 1
loop_
_symmetry_equiv_pos_as_xyz
'x,y,z'
loop_
_atom_site_label
_atom_site_type_symbol
_atom_site_fract_x
_atom_site_fract_y
_atom_site_fract_z
Na1 Na 0.000 0.000 0.000
Na2 Na 0.336 0.664 0.000
Na3 Na 0.664 0.336 0.000
Zr1 Zr 0.167 0.833 0.500
Zr2 Zr 0.833 0.167 0.500
U1 U 0.500 0.500 0.500
Se1 Se 0.079 0.423 0.270
Se2 Se 0.232 0.232 0.729
Se3 Se 0.423 0.079 0.270
Se4 Se 0.577 0.921 0.730
Se5 Se 0.768 0.768 0.271
Se6 Se 0.921 0.577 0.730

No. 12
# TbYCo2 | the Alexandria database | PBE-GGA | relaxed
# **Total magnetic moment**: 0.77 Bohr magnetons per cell
# **E_tot**: -25.8 eV/f.u.
data_TbYCo2
_chemical_formula_sum 'Tb1 Y1 Co2'
_cell_length_a 4.739
_cell_length_b 4.739
_cell_length_c 3.366
_cell_angle_alpha 90.00
_cell_angle_beta 90.00
_cell_angle_gamma 90.00
_symmetry_space_group_name_H-M 'P 1'
_symmetry_Int_Tables_number 1
loop_
_symmetry_equiv_pos_as_xyz
'x,y,z'
loop_
_atom_site_label
_atom_site_type_symbol
_atom_site_fract_x
_atom_site_fract_y
_atom_site_fract_z
Tb1 Tb 0.000 0.000 0.000
Y1 Y 0.500 0.500 0.000
Co1 Co 0.000 0.500 0.500
Co2 Co 0.500 0.000 0.500